CaHf3Mg: relaxed, PBE.

Values from the calculation:
The total energy is -27.86 eV per cell. The theoretical density is 7.16 Mg/m³. Its symmetry is Pm-3m.

Lattice parameters (Å, degrees): 5.1806 5.1806 5.1806 90.00 90.00 90.00
With the nearest neighbours (Å) after each atom.
Atoms (fractional coordinates):
Ca (0.5000, 0.5000, 0.5000)  12 Hf 3.66
Mg (0.0000, 0.0000, 0.0000)  6 Hf 2.59
Hf (0.5000, 0.0000, 0.0000)  2 Mg 2.59
Hf (0.0000, 0.0000, 0.5000)  2 Mg 2.59
Hf (0.0000, 0.5000, 0.0000)  2 Mg 2.59